DFT (PBE-GGA) results for a relaxed structure of Li2CdHg.

a b c (Å): 3.2222 3.2222 27.0787
angles (deg): 90.00 90.00 120.00
Space group R3m (No. 160, hexagonal axes)
Inequivalent atoms, fractional coordinates:
Li1 0.0000 0.0000 0.0000
Li2 0.0000 0.0000 0.1713
Cd1 0.0000 0.0000 0.7520
Hg1 0.0000 0.0000 0.5860

Computed properties:
size of the total moment = 0.00 μB per cell
energy above the most stable polymorph in this dataset = 120 meV/atom
energy of formation from the pure elements = -0.200 eV per atom
DOS(E_F) = 0.34 states/eV/atom